ErMgPt: relaxed, GGA-PBE.

Unit cell a=8.045 b=8.045 c=8.045 alpha=158.38 beta=158.38 gamma=30.76
Sites, in units of the cell vectors:
Er 0.000 0.000 0.000
Mg 0.670 0.670 0.000
Pt 0.834 0.834 0.000

=====

ErMg9Pt2: relaxed, GGA-PBE.

Unit cell a=9.023 b=9.023 c=9.023 alpha=99.88 beta=99.88 gamma=131.05
Sites, in units of the cell vectors:
Er 0.375 0.625 0.750
Er 0.625 0.375 0.250
Mg 0.125 0.875 0.250
Mg 0.133 0.565 0.325
Mg 0.133 0.809 0.568
Mg 0.191 0.259 0.325
Mg 0.191 0.867 0.932
Mg 0.259 0.191 0.825
Mg 0.259 0.435 0.068
Mg 0.435 0.259 0.568
Mg 0.435 0.867 0.175
Mg 0.565 0.133 0.825
Mg 0.565 0.741 0.432
Mg 0.741 0.565 0.932
Mg 0.741 0.809 0.175
Mg 0.809 0.133 0.068
Mg 0.809 0.741 0.675
Mg 0.867 0.191 0.432
Mg 0.867 0.435 0.675
Mg 0.875 0.125 0.750
Pt 0.000 0.000 0.000
Pt 0.000 0.000 0.500
Pt 0.000 0.500 0.000
Pt 0.500 0.000 0.500

=====

One value per record, in order, for VASP energy: -0.2867, -0.2149 Ry per atom.
One value per record, in order, for Fermi-level density of states: 1.5, 17.8 states/eV per cell.